DFT (GGA-PBE) results for an optimized crystal structure of NaH3.

Results
energy above the most stable polymorph in this dataset = 429 meV per atom
symmetry = Pmm2, No. 25
DOS at the Fermi energy = 0.163 states/eV per atom
size of the total moment = 0.05 μB per cell

Cell lengths 2.4833, 4.7996, 3.4101 Å; angles 90.00, 90.00, 90.00 degrees
Closest atoms and distances in Å follow each position.
Fractional positions:
Na (0.0000, 0.0000, 0.0000)  4 H 2.11
H (0.0000, 0.5000, 0.9853)  2 H 1.24
H (0.5000, 0.0000, 0.4999)  4 Na 2.11
H (0.5000, 0.5000, 0.9848)  2 H 1.24

DFT (GGA-PBE) results for an optimized crystal structure of NaH.

Results
energy above the most stable polymorph in this dataset = 25 meV per atom
symmetry = Cmcm, No. 63
DOS at the Fermi energy = 0.000 states/eV per atom
size of the total moment = 0.00 μB per cell

Cell lengths 3.9382, 3.9382, 4.8314 Å; angles 90.00, 90.00, 119.76 degrees
Closest atoms and distances in Å follow each position.
Fractional positions:
Na (0.1679, 0.8321, 0.7500)  5 H 2.28-2.42
Na (0.8321, 0.1679, 0.2500)  5 H 2.28-2.42
H (0.1664, 0.8336, 0.2500)  5 Na 2.28-2.42
H (0.8336, 0.1664, 0.7500)  5 Na 2.28-2.42

DFT (GGA-PBE) results for an optimized crystal structure of NaH.

Results
energy above the most stable polymorph in this dataset = 60 meV per atom
symmetry = P6_3/m, No. 176
DOS at the Fermi energy = 0.000 states/eV per atom
size of the total moment = 0.00 μB per cell

Cell lengths 8.5939, 8.5939, 3.8702 Å; angles 90.00, 90.00, 120.00 degrees
Closest atoms and distances in Å follow each position.
Fractional positions:
Na (0.0756, 0.6740, 0.2500)  4 H 2.17-2.34
Na (0.3260, 0.4016, 0.2500)  4 H 2.17-2.34
Na (0.4016, 0.0756, 0.7500)  4 H 2.17-2.34
Na (0.5984, 0.9244, 0.2500)  4 H 2.17-2.34
Na (0.6740, 0.5984, 0.7500)  4 H 2.17-2.34
Na (0.9244, 0.3260, 0.7500)  4 H 2.17-2.34
H (0.0736, 0.4009, 0.2500)  4 Na 2.17-2.34
H (0.3273, 0.9264, 0.2500)  4 Na 2.17-2.34
H (0.4009, 0.3273, 0.7500)  4 Na 2.17-2.34
H (0.5991, 0.6727, 0.2500)  4 Na 2.17-2.34
H (0.6727, 0.0736, 0.7500)  4 Na 2.17-2.34
H (0.9264, 0.5991, 0.7500)  4 Na 2.17-2.34

DFT (GGA-PBE) results for an optimized crystal structure of NaH2.

Results
energy above the most stable polymorph in this dataset = 587 meV per atom
symmetry = Fm-3m, No. 225
DOS at the Fermi energy = 0.265 states/eV per atom
size of the total moment = 0.00 μB per cell

Cell lengths 4.9696, 4.9696, 4.9696 Å; angles 60.00, 60.00, 60.00 degrees
Closest atoms and distances in Å follow each position.
Fractional positions:
Na (0.0000, 0.0000, 0.0000)  6 H 2.39
Na (0.2500, 0.2500, 0.2500)  12 H 2.56
Na (0.7500, 0.7500, 0.7500)  12 H 2.56
H (0.3396, 0.3396, 0.6604)  4 H 1.59
H (0.3396, 0.6604, 0.3396)  4 H 1.59
H (0.3396, 0.6604, 0.6604)  4 H 1.59
H (0.6604, 0.3396, 0.3396)  4 H 1.59
H (0.6604, 0.3396, 0.6604)  4 H 1.59
H (0.6604, 0.6604, 0.3396)  4 H 1.59

DFT (GGA-PBE) results for an optimized crystal structure of NaH.

Results
energy above the most stable polymorph in this dataset = 62 meV per atom
symmetry = I4/m, No. 87
DOS at the Fermi energy = 0.000 states/eV per atom
size of the total moment = 0.00 μB per cell

Cell lengths 6.7769, 6.7769, 6.7769 Å; angles 94.76, 94.76, 146.50 degrees
Closest atoms and distances in Å follow each position.
Fractional positions:
Na (0.1178, 0.7048, 0.8225)  4 H 2.17-2.29
Na (0.2952, 0.1178, 0.4130)  4 H 2.17-2.29
Na (0.7048, 0.8822, 0.5870)  4 H 2.17-2.29
Na (0.8822, 0.2952, 0.1775)  4 H 2.17-2.29
H (0.1185, 0.2938, 0.4124)  4 Na 2.17-2.29
H (0.2938, 0.8815, 0.1753)  4 Na 2.17-2.29
H (0.7062, 0.1185, 0.8247)  4 Na 2.17-2.29
H (0.8815, 0.7062, 0.5876)  4 Na 2.17-2.29

DFT (GGA-PBE) results for an optimized crystal structure of NaH3.

Results
energy above the most stable polymorph in this dataset = 184 meV per atom
symmetry = I4/mmm, No. 139
DOS at the Fermi energy = 0.000 states/eV per atom
size of the total moment = 0.00 μB per cell

Cell lengths 4.1356, 4.1356, 4.1356 Å; angles 129.24, 129.24, 74.63 degrees
Closest atoms and distances in Å follow each position.
Fractional positions:
Na (0.0000, 0.0000, 0.0000)  6 H 2.25-2.51
H (0.3421, 0.3421, 0.0000)  1 H 1.04
H (0.5000, 0.5000, 0.0000)  2 H 1.04
H (0.6579, 0.6579, 0.0000)  1 H 1.04

DFT (GGA-PBE) results for an optimized crystal structure of Na2H7.

Results
electronic total energy = -20.1 eV/cell
symmetry = Fm-3m, No. 225
DOS at the Fermi energy = 0.273 states/eV per atom
size of the total moment = 0.00 μB per cell

Cell lengths 4.7038, 4.7038, 4.7038 Å; angles 60.00, 60.00, 60.00 degrees
Closest atoms and distances in Å follow each position.
Fractional positions:
Na (0.2500, 0.2500, 0.2500)  12 H 2.39
Na (0.7500, 0.7500, 0.7500)  12 H 2.39
H (0.0000, 0.0000, 0.0000)  6 H 1.25
H (0.1875, 0.1875, 0.8125)  1 H 1.25
H (0.1875, 0.8125, 0.1875)  1 H 1.25
H (0.1875, 0.8125, 0.8125)  1 H 1.25
H (0.8125, 0.1875, 0.1875)  1 H 1.25
H (0.8125, 0.1875, 0.8125)  1 H 1.25
H (0.8125, 0.8125, 0.1875)  1 H 1.25

DFT (GGA-PBE) results for an optimized crystal structure of NaH5.

Results
electronic total energy = -15.6 eV/cell
symmetry = Cmmm, No. 65
DOS at the Fermi energy = 0.103 states/eV per atom
size of the total moment = 0.14 μB per cell

Cell lengths 6.5098, 6.5098, 2.2647 Å; angles 90.00, 90.00, 148.69 degrees
Closest atoms and distances in Å follow each position.
Fractional positions:
Na (0.0000, 0.0000, 0.0000)  6 H 2.09-2.34, 2 Na 2.26
H (0.1845, 0.8155, 0.5000)  2 H 1.13
H (0.1863, 0.8137, 0.0000)  2 H 1.13
H (0.5000, 0.5000, 0.5000)  4 Na 2.09, 2 H 2.26
H (0.8137, 0.1863, 0.0000)  2 H 1.13
H (0.8155, 0.1845, 0.5000)  2 H 1.13